Version one
Ti3BeBi (GGA-PBE, relaxed); space-group type = P6_3/mmc, No. 194; spin magnetization = 0.00 μB/f.u.
1.0
6.213 0.000 0.000
-3.106 5.380 0.000
0.000 0.000 5.139
Ti Be Bi
6 2 2
Direct
0.177 0.354 0.250
0.177 0.823 0.250
0.354 0.177 0.750
0.646 0.823 0.250
0.823 0.177 0.750
0.823 0.646 0.750
0.000 0.000 0.000
0.000 0.000 0.500
0.333 0.667 0.750
0.667 0.333 0.250


Version two
Ti3BeBi (GGA-PBE, relaxed); space-group type = Pm-3m, No. 221; spin magnetization = 1.49 μB/f.u.
1.0
5.104 0.000 0.000
0.000 5.104 0.000
0.000 0.000 5.104
Ti Be Bi
3 1 1
Direct
0.000 0.000 0.500
0.000 0.500 0.000
0.500 0.000 0.000
0.500 0.500 0.500
0.000 0.000 0.000


Version three
Ti3BeBi (GGA-PBE, relaxed); space-group type = Pm-3m, No. 221; spin magnetization = 0.00 μB/f.u.
1.0
4.460 0.000 0.000
0.000 4.460 0.000
0.000 0.000 4.460
Ti Be Bi
3 1 1
Direct
0.000 0.000 0.500
0.000 0.500 0.000
0.500 0.000 0.000
0.000 0.000 0.000
0.500 0.500 0.500


In meV/atom, relative to the most stable structure: version one 0; version two 1522; version three 73.


Version one
TiBe3Bi (GGA-PBE, relaxed); space-group type = Pm-3m, No. 221; spin magnetization = 0.00 μB/f.u.
1.0
4.650 0.000 0.000
0.000 4.650 0.000
0.000 0.000 4.650
Ti Be Bi
1 3 1
Direct
0.000 0.000 0.000
0.000 0.500 0.500
0.500 0.000 0.500
0.500 0.500 0.000
0.500 0.500 0.500


Version two
TiBe3Bi (GGA-PBE, relaxed); space-group type = Pm-3m, No. 221; spin magnetization = 1.26 μB/f.u.
1.0
4.560 0.000 0.000
0.000 4.560 0.000
0.000 0.000 4.560
Ti Be Bi
1 3 1
Direct
0.000 0.000 0.000
0.000 0.000 0.500
0.000 0.500 0.000
0.500 0.000 0.000
0.500 0.500 0.500


In meV/atom, relative to the most stable structure: version one 337; version two 0.


Version one
BeTl2Bi (GGA-PBE, relaxed); space-group type = Fm-3m, No. 225; spin magnetization = 0.00 μB/f.u.
1.0
0.000 3.806 3.806
3.806 0.000 3.806
3.806 3.806 0.000
Be Tl Bi
1 2 1
Direct
0.000 0.000 0.000
0.250 0.250 0.250
0.750 0.750 0.750
0.500 0.500 0.500


Version two
BeTl2Bi (GGA-PBE, relaxed); space-group type = I-42d, No. 122; spin magnetization = 0.00 μB/f.u.
1.0
-4.750 4.750 2.523
4.750 -4.750 2.523
4.750 4.750 -2.523
Be Tl Bi
2 4 2
Direct
0.000 0.000 0.000
0.750 0.250 0.500
0.018 0.625 0.893
0.375 0.268 0.393
0.732 0.125 0.107
0.875 0.982 0.607
0.250 0.750 0.500
0.500 0.500 0.000


In meV/atom, relative to the most stable structure: version one 136; version two 0.


Version one
Be3TlBi (GGA-PBE, relaxed); space-group type = Pm-3m, No. 221; spin magnetization = 0.00 μB/f.u.
1.0
4.663 0.000 0.000
0.000 4.663 0.000
0.000 0.000 4.663
Be Tl Bi
3 1 1
Direct
0.000 0.000 0.500
0.000 0.500 0.000
0.500 0.000 0.000
0.000 0.000 0.000
0.500 0.500 0.500


Version two
Be3TlBi (GGA-PBE, relaxed); space-group type = Pm-3m, No. 221; spin magnetization = 0.00 μB/f.u.
1.0
4.940 0.000 0.000
0.000 4.940 0.000
0.000 0.000 4.940
Be Tl Bi
3 1 1
Direct
0.000 0.000 0.500
0.000 0.500 0.000
0.500 0.000 0.000
0.500 0.500 0.500
0.000 0.000 0.000


In meV/atom, relative to the most stable structure: version one 0; version two 165.


Version one
BeTlBi2 (GGA-PBE, relaxed); space-group type = Fm-3m, No. 225; spin magnetization = 0.00 μB/f.u.
1.0
0.000 3.766 3.766
3.766 0.000 3.766
3.766 3.766 0.000
Be Tl Bi
1 1 2
Direct
0.000 0.000 0.000
0.500 0.500 0.500
0.250 0.250 0.250
0.750 0.750 0.750


Version two
BeTlBi2 (GGA-PBE, relaxed); space-group type = I-42d, No. 122; spin magnetization = 0.00 μB/f.u.
1.0
-2.984 2.984 7.444
2.984 -2.984 7.444
2.984 2.984 -7.444
Be Tl Bi
2 2 4
Direct
0.000 0.000 0.000
0.750 0.250 0.500
0.250 0.750 0.500
0.500 0.500 0.000
0.014 0.625 0.889
0.375 0.264 0.389
0.736 0.125 0.111
0.875 0.986 0.611


In meV/atom, relative to the most stable structure: version one 250; version two 0.


Version one
BeV2Bi (GGA-PBE, relaxed); space-group type = Fm-3m, No. 225; spin magnetization = 1.55 μB/f.u.
1.0
0.000 3.146 3.146
3.146 0.000 3.146
3.146 3.146 0.000
Be V Bi
1 2 1
Direct
0.000 0.000 0.000
0.250 0.250 0.250
0.750 0.750 0.750
0.500 0.500 0.500


Version two
BeV2Bi (GGA-PBE, relaxed); space-group type = I-42d, No. 122; spin magnetization = 0.00 μB/f.u.
1.0
-1.853 1.853 9.629
1.853 -1.853 9.629
1.853 1.853 -9.629
Be V Bi
2 4 2
Direct
0.000 0.000 0.000
0.750 0.250 0.500
0.101 0.625 0.976
0.375 0.351 0.476
0.649 0.125 0.024
0.875 0.899 0.524
0.250 0.750 0.500
0.500 0.500 0.000


In meV/atom, relative to the most stable structure: version one 0; version two 80.